Record 1
A relaxed structure of LiAlAs, computed with PBE.

a = 3.4984 Å, b = 3.4984 Å, c = 8.8309 Å
α = 90.00°, β = 90.00°, γ = 90.00°
Last column: nearest neighbours and their distance in Å.
Fractional positions:
Li 0.0000 0.0000 0.0000  5 Al 2.70-3.01, 5 As 2.80-2.95
Li 0.5000 0.5000 0.5000  5 Al 2.70-3.01, 5 As 2.80-2.95
Al 0.0000 0.0000 0.3062  4 As 2.70, 5 Li 2.70-3.01
Al 0.5000 0.5000 0.8062  4 As 2.70, 5 Li 2.70-3.01
As 0.0000 0.0000 0.6827  4 Al 2.70, 5 Li 2.80-2.95
As 0.5000 0.5000 0.1827  4 Al 2.70, 5 Li 2.80-2.95

Values from the calculation:
* magnetization: 0.00 μB/f.u.
* DOS at the Fermi energy: 0.400 states/eV/atom
* final energy: -3.604 eV/atom

---

Record 2
A relaxed structure of Li2AlAs2, computed with PBE.

a = 7.7576 Å, b = 7.7576 Å, c = 2.7817 Å
α = 90.00°, β = 90.00°, γ = 90.00°
Last column: nearest neighbours and their distance in Å.
Fractional positions:
Li 0.1213 0.3787 0.0000  6 As 2.61-2.74, 3 Li 2.66-2.78
Li 0.3787 0.8787 0.0000  6 As 2.61-2.74, 3 Li 2.66-2.78
Li 0.6213 0.1213 0.0000  6 As 2.61-2.74, 3 Li 2.66-2.78
Li 0.8787 0.6213 0.0000  6 As 2.61-2.74, 3 Li 2.66-2.78
Al 0.0000 0.0000 0.5000  2 Al 2.78, 4 As 2.86
Al 0.5000 0.5000 0.5000  2 Al 2.78, 4 As 2.86
As 0.1772 0.6772 0.5000  6 Li 2.61-2.74, 2 As 2.78, 2 Al 2.86
As 0.3228 0.1772 0.5000  6 Li 2.61-2.74, 2 As 2.78, 2 Al 2.86
As 0.6772 0.8228 0.5000  6 Li 2.61-2.74, 2 As 2.78, 2 Al 2.86
As 0.8228 0.3228 0.5000  6 Li 2.61-2.74, 2 As 2.78, 2 Al 2.86

Values from the calculation:
* magnetization: 0.00 μB/f.u.
* DOS at the Fermi energy: 0.228 states/eV/atom
* final energy: -3.727 eV/atom

---

Record 3
A relaxed structure of Li2AlAs, computed with PBE.

a = 3.0062 Å, b = 3.0062 Å, c = 26.2924 Å
α = 90.00°, β = 90.00°, γ = 120.00°
Last column: nearest neighbours and their distance in Å.
Fractional positions:
Li 0.0000 0.0000 0.2427  3 As 2.65, 3 Al 2.95
Li 0.0000 0.0000 0.7573  3 As 2.65, 3 Al 2.95
Li 0.3333 0.6667 0.4239  3 As 2.65, 3 Al 2.95
Li 0.3333 0.6667 0.9094  3 As 2.65, 3 Al 2.95
Li 0.6667 0.3333 0.0906  3 As 2.65, 3 Al 2.95
Li 0.6667 0.3333 0.5761  3 As 2.65, 3 Al 2.95
Al 0.0000 0.0000 0.0000  6 Li 2.95, 6 Al 3.01
Al 0.3333 0.6667 0.6667  6 Li 2.95, 6 Al 3.01
Al 0.6667 0.3333 0.3333  6 Li 2.95, 6 Al 3.01
As 0.0000 0.0000 0.5000  6 Li 2.65
As 0.3333 0.6667 0.1667  6 Li 2.65
As 0.6667 0.3333 0.8333  6 Li 2.65

Values from the calculation:
* magnetization: 0.00 μB/f.u.
* DOS at the Fermi energy: 0.877 states/eV/atom
* final energy: -3.225 eV/atom
* E above lowest polymorph: 231 meV/atom

---

Record 4
A relaxed structure of LiAlAs2, computed with PBE.

a = 2.9608 Å, b = 3.6904 Å, c = 7.4176 Å
α = 90.00°, β = 90.00°, γ = 90.00°
Last column: nearest neighbours and their distance in Å.
Fractional positions:
Li 0.0000 0.0000 0.0000  5 As 2.62-2.65
Al 0.5000 0.5000 0.4901  5 As 2.43-2.64
As 0.0000 0.0000 0.6473  1 Li 2.62, 4 Al 2.64
As 0.5000 0.5000 0.1619  1 Al 2.43, 4 Li 2.65

Values from the calculation:
* magnetization: 0.00 μB/f.u.
* DOS at the Fermi energy: 0.361 states/eV/atom
* final energy: -4.004 eV/atom

---

Record 5
A relaxed structure of LiAl4As, computed with PBE.

a = 5.3830 Å, b = 5.3830 Å, c = 5.3830 Å
α = 60.00°, β = 60.00°, γ = 60.00°
Last column: nearest neighbours and their distance in Å.
Fractional positions:
Li 0.0000 0.0000 0.0000  12 Al 3.15, 4 As 3.30
Al 0.3744 0.3744 0.3744  6 Al 2.68-2.70
Al 0.3744 0.3744 0.8768  6 Al 2.68-2.70
Al 0.3744 0.8768 0.3744  6 Al 2.68-2.70
Al 0.8768 0.3744 0.3744  6 Al 2.68-2.70
As 0.7500 0.7500 0.7500  12 Al 3.16, 4 Li 3.30

Values from the calculation:
* magnetization: 0.00 μB/f.u.
* DOS at the Fermi energy: 0.413 states/eV/atom
* final energy: -3.466 eV/atom

---

Record 6
A relaxed structure of Li2Al2As, computed with PBE.

a = 7.6556 Å, b = 7.6556 Å, c = 2.9040 Å
α = 90.00°, β = 90.00°, γ = 90.00°
Last column: nearest neighbours and their distance in Å.
Fractional positions:
Li 0.1750 0.3250 0.0000  6 Al 2.62-2.74, 2 Li 2.90
Li 0.3250 0.8250 0.0000  6 Al 2.62-2.74, 2 Li 2.90
Li 0.6750 0.1750 0.0000  6 Al 2.62-2.74, 2 Li 2.90
Li 0.8250 0.6750 0.0000  6 Al 2.62-2.74, 2 Li 2.90
Al 0.1237 0.6237 0.5000  6 Li 2.62-2.74, 3 Al 2.68-2.90
Al 0.3763 0.1237 0.5000  6 Li 2.62-2.74, 3 Al 2.68-2.90
Al 0.6237 0.8763 0.5000  6 Li 2.62-2.74, 3 Al 2.68-2.90
Al 0.8763 0.3763 0.5000  6 Li 2.62-2.74, 3 Al 2.68-2.90
As 0.0000 0.0000 0.5000  2 As 2.90, 4 Al 3.03, 8 Li 3.18
As 0.5000 0.5000 0.5000  2 As 2.90, 4 Al 3.03, 8 Li 3.18

Values from the calculation:
* magnetization: 0.00 μB/f.u.
* DOS at the Fermi energy: 0.262 states/eV/atom
* final energy: -3.208 eV/atom

---

Record 7
A relaxed structure of Li2Al2As3, computed with PBE.

a = 9.4564 Å, b = 9.4564 Å, c = 6.9792 Å
α = 105.07°, β = 105.07°, γ = 91.42°
Last column: nearest neighbours and their distance in Å.
Fractional positions:
Li 0.0665 0.9335 0.7500  4 As 2.69-2.76
Li 0.1943 0.8057 0.2500  4 As 2.68-2.81, 2 Al 2.88
Li 0.2902 0.4666 0.8915  4 As 2.64-2.93
Li 0.4666 0.2902 0.3915  4 As 2.64-2.93
Li 0.5334 0.7098 0.6085  4 As 2.64-2.93
Li 0.7098 0.5334 0.1085  4 As 2.64-2.93
Li 0.8057 0.1943 0.7500  4 As 2.68-2.81, 2 Al 2.88
Li 0.9335 0.0665 0.2500  4 As 2.69-2.76
Al 0.0494 0.5998 0.3952  4 As 2.45-2.58
Al 0.1417 0.3066 0.1251  4 As 2.46-2.56
Al 0.3066 0.1417 0.6251  4 As 2.46-2.56
Al 0.4002 0.9506 0.1048  4 As 2.45-2.58
Al 0.5998 0.0494 0.8952  4 As 2.45-2.58
Al 0.6934 0.8583 0.3749  4 As 2.46-2.56
Al 0.8583 0.6934 0.8749  4 As 2.46-2.56
Al 0.9506 0.4002 0.6048  4 As 2.45-2.58
As 0.0877 0.2167 0.7467  3 Al 2.45-2.49, 2 Li 2.68-2.69
As 0.0905 0.6478 0.7752  3 Al 2.49-2.50, 2 Li 2.69-2.76
As 0.2167 0.0877 0.2467  3 Al 2.45-2.49, 2 Li 2.68-2.69
As 0.3024 0.5472 0.3306  2 Al 2.56-2.58, 1 As 2.62, 2 Li 2.64-2.81
As 0.3522 0.9095 0.7248  3 Al 2.49-2.50, 2 Li 2.69-2.76
As 0.4528 0.6976 0.1694  2 Al 2.56-2.58, 1 As 2.62, 2 Li 2.64-2.81
As 0.5472 0.3024 0.8306  2 Al 2.56-2.58, 1 As 2.62, 2 Li 2.64-2.81
As 0.6478 0.0905 0.2752  3 Al 2.49-2.50, 2 Li 2.69-2.76
As 0.6976 0.4528 0.6694  2 Al 2.56-2.58, 1 As 2.62, 2 Li 2.64-2.81
As 0.7833 0.9123 0.7533  3 Al 2.45-2.49, 2 Li 2.68-2.69
As 0.9095 0.3522 0.2248  3 Al 2.49-2.50, 2 Li 2.69-2.76
As 0.9123 0.7833 0.2533  3 Al 2.45-2.49, 2 Li 2.68-2.69

Values from the calculation:
* magnetization: 0.00 μB/f.u.
* final energy: -4.083 eV/atom

---

Record 8
A relaxed structure of Li2AlAs, computed with PBE.

a = 3.8766 Å, b = 3.8766 Å, c = 8.5413 Å
α = 90.00°, β = 90.00°, γ = 90.00°
Last column: nearest neighbours and their distance in Å.
Fractional positions:
Li 0.0000 0.5000 0.2500  4 Li 2.74, 4 As 2.88, 4 Al 2.88
Li 0.0000 0.5000 0.7500  4 Li 2.74, 4 As 2.88, 4 Al 2.88
Li 0.5000 0.0000 0.2500  4 Li 2.74, 4 As 2.88, 4 Al 2.88
Li 0.5000 0.0000 0.7500  4 Li 2.74, 4 As 2.88, 4 Al 2.88
Al 0.0000 0.0000 0.0000  4 As 2.74, 8 Li 2.88
Al 0.5000 0.5000 0.5000  4 As 2.74, 8 Li 2.88
As 0.0000 0.0000 0.5000  4 Al 2.74, 8 Li 2.88
As 0.5000 0.5000 0.0000  4 Al 2.74, 8 Li 2.88

Values from the calculation:
* magnetization: 0.00 μB/f.u.
* DOS at the Fermi energy: 0.265 states/eV/atom
* final energy: -3.393 eV/atom
* E above lowest polymorph: 64 meV/atom

---

Record 9
A relaxed structure of LiAlAs2, computed with PBE.

a = 5.9843 Å, b = 7.4892 Å, c = 3.1077 Å
α = 90.00°, β = 92.44°, γ = 90.00°
Last column: nearest neighbours and their distance in Å.
Fractional positions:
Li 0.0000 0.0000 0.0000  8 As 2.82-2.89, 2 Al 2.99, 2 Li 3.11
Li 0.5000 0.5000 0.0000  8 As 2.82-2.89, 2 Al 2.99, 2 Li 3.11
Al 0.0000 0.5000 0.0000  8 As 2.82-2.89, 2 Li 2.99, 2 Al 3.11
Al 0.5000 0.0000 0.0000  8 As 2.82-2.89, 2 Li 2.99, 2 Al 3.11
As 0.2500 0.2500 0.5000  4 Li 2.82-2.89, 4 Al 2.82-2.89, 4 As 2.99-3.11
As 0.2500 0.7500 0.5000  4 Li 2.82-2.89, 4 Al 2.82-2.89, 4 As 2.99-3.11
As 0.7500 0.2500 0.5000  4 Li 2.82-2.89, 4 Al 2.82-2.89, 4 As 2.99-3.11
As 0.7500 0.7500 0.5000  4 Li 2.82-2.89, 4 Al 2.82-2.89, 4 As 2.99-3.11

Values from the calculation:
* magnetization: 0.00 μB/f.u.
* DOS at the Fermi energy: 0.411 states/eV/atom
* final energy: -3.881 eV/atom

---

Record 10
A relaxed structure of Li2AlAs, computed with PBE.

a = 6.4138 Å, b = 6.4138 Å, c = 6.4138 Å
α = 90.00°, β = 90.00°, γ = 90.00°
Last column: nearest neighbours and their distance in Å.
Fractional positions:
Li 0.2500 0.2500 0.2500  4 As 2.78, 4 Al 2.78
Li 0.2500 0.2500 0.7500  4 As 2.78, 4 Al 2.78
Li 0.2500 0.7500 0.2500  4 As 2.78, 4 Al 2.78
Li 0.2500 0.7500 0.7500  4 As 2.78, 4 Al 2.78
Li 0.7500 0.2500 0.2500  4 As 2.78, 4 Al 2.78
Li 0.7500 0.2500 0.7500  4 As 2.78, 4 Al 2.78
Li 0.7500 0.7500 0.2500  4 As 2.78, 4 Al 2.78
Li 0.7500 0.7500 0.7500  4 Al 2.78, 4 As 2.78
Al 0.0000 0.0000 0.0000  8 Li 2.78
Al 0.0000 0.5000 0.5000  8 Li 2.78
Al 0.5000 0.0000 0.5000  8 Li 2.78
Al 0.5000 0.5000 0.0000  8 Li 2.78
As 0.0000 0.0000 0.5000  8 Li 2.78
As 0.0000 0.5000 0.0000  8 Li 2.78
As 0.5000 0.0000 0.0000  8 Li 2.78
As 0.5000 0.5000 0.5000  8 Li 2.78

Values from the calculation:
* magnetization: 0.00 μB/f.u.
* DOS at the Fermi energy: 0.000 states/eV/atom
* final energy: -3.336 eV/atom
* E above lowest polymorph: 120 meV/atom

---

Record 11
A relaxed structure of Li2AlAs, computed with PBE.

a = 3.9894 Å, b = 4.0161 Å, c = 8.3174 Å
α = 90.00°, β = 90.00°, γ = 90.00°
Last column: nearest neighbours and their distance in Å.
Fractional positions:
Li 0.0000 0.0000 0.2293  4 As 2.76-2.77, 4 Li 2.83, 4 Al 3.01-3.02
Li 0.0000 0.0000 0.7707  4 As 2.76-2.77, 4 Li 2.83, 4 Al 3.01-3.02
Li 0.5000 0.5000 0.2293  4 As 2.76-2.77, 4 Li 2.83, 4 Al 3.01-3.02
Li 0.5000 0.5000 0.7707  4 As 2.76-2.77, 4 Li 2.83, 4 Al 3.01-3.02
Al 0.0000 0.5000 0.5000  4 Al 2.83, 8 Li 3.01-3.02
Al 0.5000 0.0000 0.5000  4 Al 2.83, 8 Li 3.01-3.02
As 0.0000 0.5000 0.0000  8 Li 2.76-2.77, 4 As 2.83
As 0.5000 0.0000 0.0000  8 Li 2.76-2.77, 4 As 2.83

Values from the calculation:
* magnetization: 0.00 μB/f.u.
* DOS at the Fermi energy: 0.375 states/eV/atom
* final energy: -3.326 eV/atom
* E above lowest polymorph: 130 meV/atom

---

Record 12
A relaxed structure of LiAlAs2, computed with PBE.

a = 3.9182 Å, b = 4.7683 Å, c = 7.5823 Å
α = 90.00°, β = 90.00°, γ = 90.00°
Last column: nearest neighbours and their distance in Å.
Fractional positions:
Li 0.0000 0.0000 0.0000  8 As 2.79-2.99, 4 Al 3.09
Li 0.5000 0.5000 0.5000  8 As 2.79-2.99, 4 Al 3.09
Al 0.0000 0.0000 0.5000  4 As 2.67
Al 0.5000 0.5000 0.0000  4 As 2.67
As 0.0000 0.5000 0.2385  2 Al 2.67, 2 Li 2.79
As 0.0000 0.5000 0.7615  2 Al 2.67, 2 Li 2.79
As 0.5000 0.0000 0.2615  2 Al 2.67, 2 Li 2.79
As 0.5000 0.0000 0.7385  2 Al 2.67, 2 Li 2.79

Values from the calculation:
* magnetization: 0.00 μB/f.u.
* DOS at the Fermi energy: 0.378 states/eV/atom
* final energy: -3.886 eV/atom

---

Record 13
A relaxed structure of LiAlAs3, computed with PBE.

a = 4.5943 Å, b = 4.5943 Å, c = 4.5943 Å
α = 90.00°, β = 90.00°, γ = 90.00°
Last column: nearest neighbours and their distance in Å.
Fractional positions:
Li 0.0000 0.0000 0.0000  6 As 2.30
Al 0.5000 0.5000 0.5000  12 As 3.25
As 0.0000 0.0000 0.5000  2 Li 2.30
As 0.0000 0.5000 0.0000  2 Li 2.30
As 0.5000 0.0000 0.0000  2 Li 2.30

Values from the calculation:
* magnetization: 0.00 μB/f.u.
* DOS at the Fermi energy: 0.665 states/eV/atom
* final energy: -3.418 eV/atom
* E above lowest polymorph: 210 meV/atom

---

Record 14
A relaxed structure of LiAlAs, computed with PBE.

a = 3.2809 Å, b = 3.2809 Å, c = 6.0621 Å
α = 90.00°, β = 90.00°, γ = 120.00°
Last column: nearest neighbours and their distance in Å.
Fractional positions:
Li 0.0000 0.0000 0.0000  3 As 2.74, 3 Al 2.96
Al 0.6667 0.3333 0.3757  3 As 2.62
As 0.3333 0.6667 0.6741  3 Al 2.62, 3 Li 2.74

Values from the calculation:
* magnetization: 0.00 μB/f.u.
* DOS at the Fermi energy: 0.429 states/eV/atom
* final energy: -3.549 eV/atom